VASP calculation (PBE-GGA) on ScHgSb after structural relaxation.

## Properties
- Uncorrected formation energy: -0.338 eV per atom
- Relative energy among the computed polymorphs: 92.5 meV/atom
- Size of the total moment: 0.000 μB per cell
- DOS at the Fermi energy: 2.5 states/eV/f.u.

Cell: 5.4349 5.4349 5.4349 Å, 136.99 136.99 62.45°
With the nearest neighbours (Å) after each atom.
Sites, in units of the cell vectors:
Sc1 0.6845 0.6845 0.0000  1 Hg 2.93, 4 Sb 3.07
Sb1 0.3159 0.3159 0.0000  1 Hg 2.94, 4 Sc 3.07
Hg1 0.9996 0.9996 0.0000  1 Sc 2.93, 1 Sb 2.94

=====

VASP calculation (PBE-GGA) on Mg8In2Pb3 after structural relaxation.

## Properties
- Relative energy among the computed polymorphs: 12.7 meV/atom
- Size of the total moment: 0.000 μB per cell
- DOS at the Fermi energy: 4.5 states/eV/f.u.

Cell: 6.6569 6.6569 10.7576 Å, 65.19 65.19 53.58°
With the nearest neighbours (Å) after each atom.
Sites, in units of the cell vectors:
Mg1 0.7638 0.2668 0.3236  4 Mg 2.98-3.22, 2 Pb 3.07-3.17, 1 In 3.12
Mg2 0.2362 0.7332 0.6764  4 Mg 2.98-3.22, 2 Pb 3.07-3.17, 1 In 3.12
Mg3 0.7332 0.2362 0.6764  4 Mg 2.98-3.22, 2 Pb 3.07-3.17, 1 In 3.12
Mg4 0.4058 0.4058 0.1456  3 Mg 2.87-3.15, 1 Pb 2.87, 1 In 2.98
Mg5 0.7594 0.7594 0.3142  4 Pb 3.12-3.24, 1 In 3.18, 4 Mg 3.22-3.44
Mg6 0.2406 0.2406 0.6858  4 Pb 3.12-3.24, 1 In 3.18, 4 Mg 3.22-3.44
Mg7 0.5942 0.5942 0.8544  3 Mg 2.87-3.15, 1 Pb 2.87, 1 In 2.98
Mg8 0.2668 0.7638 0.3236  4 Mg 2.98-3.22, 2 Pb 3.07-3.17, 1 In 3.12
In1 0.2935 0.2935 0.9497  5 Mg 2.98-3.22, 2 In 3.19, 1 Pb 3.27
In2 0.7065 0.7065 0.0503  5 Mg 2.98-3.22, 2 In 3.19, 1 Pb 3.27
Pb1 0.0000 0.0000 0.0000  6 Mg 3.24-3.33, 2 In 3.27
Pb2 0.1929 0.1929 0.4241  8 Mg 2.87-3.19
Pb3 0.8071 0.8071 0.5759  8 Mg 2.87-3.19